Material: GdHoHgOs
Method: DFT, PBE
State: optimized geometry

Cell lengths 5.0279, 5.0279, 5.0279 Å; angles 60.00, 60.00, 60.00 degrees
Atoms (fractional coordinates):
Gd  0.0000  0.0000  0.0000
Ho  0.5000  0.5000  0.5000
Hg  0.2500  0.2500  0.2500
Os  0.7500  0.7500  0.7500

## Properties
density of states at the Fermi level = 3.16 states/eV/cell
total magnetization = 1.774 μB/atom
electronic total energy = -7.793 eV per atom
energy of formation = -23.7 kJ per mole of atoms
SG = F-43m (216)
ρ = 13.2 g cm⁻³

Material: HoPaCuRe
Method: DFT, PBE
State: optimized geometry

Cell lengths 4.8718, 4.8718, 4.8718 Å; angles 60.00, 60.00, 60.00 degrees
Atoms (fractional coordinates):
Ho  0.0000  0.0000  0.0000
Pa  0.5000  0.5000  0.5000
Cu  0.7500  0.7500  0.7500
Re  0.2500  0.2500  0.2500

## Properties
density of states at the Fermi level = 5.96 states/eV/cell
total magnetization = 0.000 μB/atom
electronic total energy = -7.643 eV per atom
energy of formation = 1.1 kJ per mole of atoms
SG = F-43m (216)
ρ = 13.1 g cm⁻³

Q: Among the records above, which one has the lowest energy of formation?
A: GdHoHgOs

Q: What is the formula in the second record?
A: HoPaCuRe